Mn2ZnO4 (PBE with a Hubbard U, relaxed); distance to the lowest polymorph of the same formula = 115.3 meV/atom; E_tot = -6.604 eV/atom; space group = Pbcm, No. 57
1.0
3.0170 0.0000 0.0000
0.0000 9.7226 0.0000
0.0000 0.0000 9.8870
Mn O Zn
8 16 4
Direct
0.7130 0.0705 0.1159 Mn
0.7130 0.9295 0.3841 Mn
0.7130 0.4295 0.1159 Mn
0.2870 0.4295 0.6159 Mn
0.2870 0.5705 0.8841 Mn
0.2870 0.0705 0.6159 Mn
0.7130 0.5705 0.3841 Mn
0.2870 0.9295 0.8841 Mn
0.3088 0.2500 0.7088 O
0.2865 0.8870 0.5289 O
0.2865 0.3870 0.9711 O
0.7135 0.1130 0.4711 O
0.2865 0.6130 0.5289 O
0.8634 0.0000 0.7500 O
0.1366 0.5000 0.2500 O
0.8634 0.5000 0.7500 O
0.7135 0.6130 0.0289 O
0.2865 0.1130 0.9711 O
0.6912 0.2500 0.2088 O
0.6912 0.7500 0.2912 O
0.7135 0.3870 0.4711 O
0.7135 0.8870 0.0289 O
0.1366 0.0000 0.2500 O
0.3088 0.7500 0.7912 O
0.1897 0.7500 0.1449 Zn
0.1897 0.2500 0.3551 Zn
0.8103 0.7500 0.6449 Zn
0.8103 0.2500 0.8551 Zn